# 1
Here is an optimized crystal structure of Li2MgAs from the Alexandria database. Energies are from PBE.

Cell: 3.125 3.871 5.912 Å, 90.00 90.20 90.00°
Atoms (fractional coordinates):
Li1 0.000 0.000 0.000
Li2 0.500 0.500 0.247
Mg1 0.000 0.000 0.530
As1 0.499 0.500 0.781

Results
Crystal system: monoclinic
Distance to the lowest polymorph of the same formula, eV/atom: 0.188
Calculated formation energy, meV per atom: -347



# 2
Here is an optimized crystal structure of SmTm3Mg2 from the Alexandria database. Energies are from PBE.

Cell: 3.594 3.594 13.192 Å, 90.00 90.00 90.00°
Atoms (fractional coordinates):
Sm1 0.000 0.000 0.000
Tm1 0.500 0.500 0.189
Tm2 0.500 0.500 0.500
Tm3 0.500 0.500 0.811
Mg1 0.000 0.000 0.347
Mg2 0.000 0.000 0.653

Results
Crystal system: tetragonal
Calculated formation energy, meV per atom: -33



# 3
Here is an optimized crystal structure of Mg2Ag2Au3 from the Alexandria database. Energies are from PBE.

Cell: 4.109 5.095 6.611 Å, 96.34 90.09 113.43°
Atoms (fractional coordinates):
Mg1 0.077 0.156 0.236
Mg2 0.923 0.844 0.764
Ag1 0.359 0.722 0.070
Ag2 0.641 0.278 0.930
Au1 0.215 0.430 0.652
Au2 0.500 0.000 0.500
Au3 0.785 0.570 0.348

Results
Crystal system: triclinic
Distance to the lowest polymorph of the same formula, eV/atom: 0.000
Calculated formation energy, meV per atom: -332



# 4
Here is an optimized crystal structure of SbRuSCl2 from the Alexandria database. Energies are from PBE.

Cell: 4.789 4.789 4.613 Å, 90.00 90.00 90.00°
Atoms (fractional coordinates):
Sb1 0.000 0.000 0.000
Ru1 0.500 0.500 0.500
S1 0.500 0.500 0.000
Cl1 0.000 0.500 0.500
Cl2 0.500 0.000 0.500

Results
Crystal system: tetragonal
Distance to the lowest polymorph of the same formula, eV/atom: 0.000
Energy relative to the elements, uncorrected, eV per atom: 0.170



# 5
Here is an optimized crystal structure of Li2PtW from the Alexandria database. Energies are from PBE.

Cell: 5.448 5.448 2.689 Å, 102.99 102.99 121.64°
Atoms (fractional coordinates):
Li1 0.000 0.500 0.000
Li2 0.500 0.000 0.000
Pt1 0.000 0.000 0.500
W1 0.500 0.500 0.500

Results
Crystal system: monoclinic
Distance to the lowest polymorph of the same formula, eV/atom: 0.059
Calculated formation energy, meV per atom: 9



# 6
Here is an optimized crystal structure of ReMoIr from the Alexandria database. Energies are from PBE.

Cell: 2.767 4.446 7.461 Å, 90.00 100.75 90.00°
Atoms (fractional coordinates):
Re1 0.221 0.250 0.441
Re2 0.779 0.750 0.559
Mo1 0.108 0.750 0.217
Mo2 0.892 0.250 0.783
Ir1 0.442 0.750 0.883
Ir2 0.558 0.250 0.117

Results
Crystal system: monoclinic
Distance to the lowest polymorph of the same formula, eV/atom: 0.000
Calculated formation energy, meV per atom: -182



# 7
Here is an optimized crystal structure of DyEr2Cu2 from the Alexandria database. Energies are from PBE.

Cell: 3.477 5.034 12.986 Å, 90.00 97.69 90.00°
Atoms (fractional coordinates):
Dy1 0.142 0.250 0.283
Dy2 0.858 0.750 0.717
Er1 0.047 0.750 0.094
Er2 0.230 0.750 0.460
Er3 0.770 0.250 0.540
Er4 0.953 0.250 0.906
Cu1 0.358 0.250 0.719
Cu2 0.454 0.750 0.910
Cu3 0.546 0.250 0.090
Cu4 0.642 0.750 0.281

Results
Crystal system: monoclinic
Distance to the lowest polymorph of the same formula, eV/atom: 0.000
Calculated formation energy, meV per atom: -183



# 8
Here is an optimized crystal structure of Pr4SmPb5 from the Alexandria database. Energies are from PBE.

Cell: 3.614 3.614 23.274 Å, 90.00 90.00 90.00°
Atoms (fractional coordinates):
Pr1 0.000 0.000 0.101
Pr2 0.000 0.000 0.302
Pr3 0.000 0.000 0.698
Pr4 0.000 0.000 0.899
Sm1 0.000 0.000 0.500
Pb1 0.500 0.500 0.000
Pb2 0.500 0.500 0.201
Pb3 0.500 0.500 0.403
Pb4 0.500 0.500 0.597
Pb5 0.500 0.500 0.799

Results
Crystal system: tetragonal
Calculated formation energy, meV per atom: -517



# 9
Here is an optimized crystal structure of KRbNa2H from the Alexandria database. Energies are from PBE.

Cell: 6.169 6.169 5.449 Å, 90.00 90.00 90.00°
Atoms (fractional coordinates):
K1 0.000 0.000 0.000
Rb1 0.500 0.500 0.000
Na1 0.000 0.500 0.500
Na2 0.500 0.000 0.500
H1 0.000 0.000 0.500

Results
Crystal system: tetragonal
Distance to the lowest polymorph of the same formula, eV/atom: 0.011



| no. | Fermi-level density of states (states/eV/f.u.) |
| --- | --- |
| 1 | 1.1 |
| 2 | 6.3 |
| 3 | 2.1 |
| 4 | 3.5 |
| 5 | 2.2 |
| 6 | 2.6 |
| 7 | 4.0 |
| 8 | 8.9 |
| 9 | 3.3 |